First-principles (GGA-PBE) data for an optimized crystal structure of Hg2OsAu, as listed in the Alexandria database.

```
Hg2OsAu
1.0
4.337 0.000 0.000
0.000 2.860 0.046
0.000 2.749 6.073
Au Hg Os
1 2 1
Direct
0.500 0.758 0.740
0.000 0.011 0.988
0.500 0.229 0.274
0.000 0.502 0.499
```

Values from the calculation:
space group: Pm, No. 6
energy of formation from the pure elements: 0.724 eV/atom